Entry 1:
Li2CaZn: optimized geometry, PBE-GGA.

Lattice parameters (Å, degrees): 6.0597 6.0597 3.5720 74.65 74.65 120.36
Element x y z (fractional)
Li1 0.5000 0.5000 0.0000
Ca1 0.0000 0.5000 0.5000
Zn1 0.5000 0.0000 0.5000
Li2 0.0000 0.0000 0.0000

Output
* calculated volume: 95.8 Å³/cell
* space-group type: C2/m, No. 12
* crystal system: monoclinic
* DFT formation energy: 39 meV/atom
* spin magnetization: 0.00 μB/atom

Entry 2:
Tm11Tl9Ni4: optimized geometry, PBE-GGA.

Lattice parameters (Å, degrees): 3.6580 12.9699 12.9699 112.64 90.00 90.00
Element x y z (fractional)
Tm1 0.0000 0.6873 0.6873
Tl1 0.5000 0.9286 0.7816
Tl2 0.5000 0.2184 0.0714
Tl3 0.5000 0.0714 0.2184
Tl4 0.5000 0.3701 0.8487
Tm2 0.0000 0.3749 0.6251
Tl5 0.5000 0.7816 0.9286
Tm3 0.0000 0.9135 0.5814
Tm4 0.0000 0.8385 0.1615
Tm5 0.0000 0.4186 0.0865
Tm6 0.0000 0.0865 0.4186
Ni1 0.5000 0.7495 0.5498
Tl6 0.5000 0.5000 0.5000
Tl7 0.5000 0.1513 0.6299
Tm7 0.0000 0.6251 0.3749
Tm8 0.0000 0.3127 0.3127
Ni2 0.5000 0.5498 0.7495
Tm9 0.0000 0.1615 0.8385
Tl8 0.5000 0.8487 0.3701
Ni3 0.5000 0.2505 0.4502
Tm10 0.0000 0.0000 0.0000
Ni4 0.5000 0.4502 0.2505
Tl9 0.5000 0.6299 0.1513
Tm11 0.0000 0.5814 0.9135

Output
* calculated volume: 567.9 Å³/cell
* space-group type: Cmmm, No. 65
* crystal system: orthorhombic
* DFT formation energy: -393 meV/atom
* spin magnetization: 0.00 μB/atom

Entry 3:
Be2CrIrSe: optimized geometry, PBE-GGA.

Lattice parameters (Å, degrees): 4.1001 4.3447 4.1001 90.00 90.00 90.00
Element x y z (fractional)
Ir1 0.5000 0.5000 0.5000
Be1 0.0000 0.0000 0.5000
Cr1 0.0000 0.0000 0.0000
Be2 0.5000 0.0000 0.0000
Se1 0.0000 0.5000 0.0000

Output
* calculated volume: 73.0 Å³/cell
* space-group type: P4/mmm, No. 123
* crystal system: tetragonal
* ΔE_f (raw): 1122 meV/atom
* spin magnetization: 0.24 μB/atom

Entry 4:
AlSO2: optimized geometry, PBE-GGA.

Lattice parameters (Å, degrees): 5.0256 5.0256 5.5269 62.96 62.96 90.00
Element x y z (fractional)
O1 0.2459 0.6250 0.2500
Al1 0.5000 0.5000 0.0000
S1 0.0000 0.0000 0.0000
O2 0.5041 0.1250 0.2500
O3 0.3750 0.4959 0.7500
Al2 0.2500 0.7500 0.5000
S2 0.7500 0.2500 0.5000
O4 0.8750 0.7541 0.7500

Output
* calculated volume: 106.9 Å³/cell
* space-group type: I-42d, No. 122
* crystal system: tetragonal
* distance to the lowest polymorph of the same formula: 542.4 meV/atom
* ΔE_f (raw): -1086 meV/atom
* spin magnetization: 0.00 μB/atom

Entry 5:
SiWBr2: optimized geometry, PBE-GGA.

Lattice parameters (Å, degrees): 4.1223 4.4494 4.4494 90.00 90.00 90.00
Element x y z (fractional)
Br1 0.0000 0.0000 0.0000
Si1 0.5000 0.5000 0.0000
Br2 0.0000 0.5000 0.5000
W1 0.5000 0.0000 0.5000

Output
* calculated volume: 81.6 Å³/cell
* space-group type: P4/mmm, No. 123
* crystal system: tetragonal
* distance to the lowest polymorph of the same formula: 1260.6 meV/atom
* ΔE_f (raw): 1392 meV/atom
* spin magnetization: 0.58 μB/atom